This record from the Alexandria database describes LiCr2Re at its PBEsol-relaxed geometry. The functional is SCAN.

```
data_LiCr2Re
_chemical_formula_sum 'Li1 Cr2 Re1'
_cell_length_a 2.4293
_cell_length_b 4.0812
_cell_length_c 4.9992
_cell_angle_alpha 90.00
_cell_angle_beta 90.00
_cell_angle_gamma 90.00
_symmetry_space_group_name_H-M 'P m m 2'
_symmetry_Int_Tables_number 25
loop_
_symmetry_equiv_pos_as_xyz
'x,y,z'
'-x,-y,z'
'-x,y,z'
'x,-y,z'
loop_
_atom_site_label
_atom_site_fract_x
_atom_site_fract_y
_atom_site_fract_z
Li1 0.0000 0.0000 0.0000
Cr1 0.0000 0.0000 0.5074
Cr2 0.5000 0.5000 0.7625
Re1 0.5000 0.5000 0.2537
```

Summary:
Mass density: 9955 kg/m3
E above lowest polymorph: 0.081 eV/atom
ΔH_f (0 K): 152.3 kJ/mol of formula units